Below is an optimized crystal structure of Mo2PdF, with properties calculated at the PBE+U level.

Summary:
For the distance to the lowest polymorph of the same formula, the calculation gives 492 meV/atom. The value obtained for the density of states at the Fermi level is 20.7 states/eV per cell. The total energy comes out at -4.44 eV/atom.

```
data_Mo2PdF
_symmetry_space_group_name_H-M 'F m -3 m'
_symmetry_Int_Tables_number 225
_symmetry_space_group_name_Hall '-F 4 2 3'
_cell_length_a 6.173
_cell_length_b 6.173
_cell_length_c 6.173
_cell_angle_alpha 90.00
_cell_angle_beta 90.00
_cell_angle_gamma 90.00
loop_
_atom_site_label
_atom_site_fract_x
_atom_site_fract_y
_atom_site_fract_z
Mo1 0.250 0.250 0.250
Pd1 0.000 0.000 0.000
F1 0.000 0.000 0.500
```